# 1
DFT (PBE-GGA) results for a geometry-optimized BaNb2Zn structure.

Output
As for the size of the total moment: 0.0 μB per cell. The formation energy comes out at 96 meV per atom. The calculation puts the density of states at the Fermi level at 1.2534 states/eV/atom.

a b c (Å): 3.480 3.485 16.098
angles (deg): 90.00 91.70 90.00
Sites, in units of the cell vectors:
1 Ba 0.196 0.250 0.124
2 Ba 0.804 0.750 0.876
3 Nb 0.227 0.250 0.356
4 Nb 0.258 0.250 0.550
5 Nb 0.742 0.750 0.450
6 Nb 0.773 0.750 0.644
7 Zn 0.286 0.250 0.728
8 Zn 0.714 0.750 0.272

# 2
DFT (PBE-GGA) results for a geometry-optimized BaNb2Zn structure.

Output
As for the size of the total moment: 0.0 μB per cell. The formation energy comes out at 184 meV per atom. The calculation puts the density of states at the Fermi level at 1.2983 states/eV/atom.

a b c (Å): 4.638 4.638 13.230
angles (deg): 99.93 99.93 59.79
Sites, in units of the cell vectors:
1 Ba 0.000 0.000 0.000
2 Ba 0.561 0.561 0.686
3 Nb 0.085 0.085 0.259
4 Nb 0.152 0.152 0.460
5 Nb 0.461 0.461 0.389
6 Nb 0.767 0.767 0.302
7 Zn 0.391 0.391 0.177
8 Zn 0.837 0.837 0.514

# 3
DFT (PBE-GGA) results for a geometry-optimized BaNb2Zn structure.

Output
As for the size of the total moment: 0.0 μB per cell. The formation energy comes out at 191 meV per atom. The calculation puts the density of states at the Fermi level at 0.9931 states/eV/atom.

a b c (Å): 5.286 5.286 12.775
angles (deg): 104.39 104.39 39.20
Sites, in units of the cell vectors:
1 Ba 0.067 0.067 0.361
2 Ba 0.933 0.933 0.639
3 Nb 0.137 0.137 0.962
4 Nb 0.426 0.426 0.881
5 Nb 0.574 0.574 0.119
6 Nb 0.863 0.863 0.038
7 Zn 0.302 0.302 0.193
8 Zn 0.698 0.698 0.807

# 4
DFT (PBE-GGA) results for a geometry-optimized BaZr3Nb structure.

Output
As for the size of the total moment: 1.2 μB per cell. The formation energy comes out at 2027 meV per atom. Its energy above the lowest structure with this stoichiometry is 6.640 eV per formula unit. The calculation puts the density of states at the Fermi level at 1.1039 states/eV/atom.

a b c (Å): 5.221 5.221 5.221
angles (deg): 90.00 90.00 90.00
Sites, in units of the cell vectors:
1 Ba 0.000 0.000 0.000
2 Zr 0.000 0.000 0.500
3 Zr 0.000 0.500 0.000
4 Zr 0.500 0.000 0.000
5 Nb 0.500 0.500 0.500

# 5
DFT (PBE-GGA) results for a geometry-optimized BaZr2Nb structure.

Output
As for the size of the total moment: 0.0 μB per cell. The formation energy comes out at 1244 meV per atom. Its energy above the lowest structure with this stoichiometry is 2.027 eV per formula unit. The calculation puts the density of states at the Fermi level at 1.6421 states/eV/atom.

a b c (Å): 10.125 10.125 10.125
angles (deg): 147.93 147.93 46.00
Sites, in units of the cell vectors:
1 Ba 0.375 0.625 0.750
2 Ba 0.625 0.375 0.250
3 Zr 0.000 0.000 0.000
4 Zr 0.000 0.000 0.500
5 Zr 0.000 0.500 0.000
6 Zr 0.500 0.000 0.500
7 Nb 0.125 0.875 0.250
8 Nb 0.875 0.125 0.750

# 6
DFT (PBE-GGA) results for a geometry-optimized BaZrNb2 structure.

Output
As for the size of the total moment: 0.0 μB per cell. The formation energy comes out at 1262 meV per atom. Its energy above the lowest structure with this stoichiometry is 1.144 eV per formula unit. The calculation puts the density of states at the Fermi level at 1.5088 states/eV/atom.

a b c (Å): 10.700 10.700 10.700
angles (deg): 152.43 152.43 39.39
Sites, in units of the cell vectors:
1 Ba 0.375 0.625 0.750
2 Ba 0.625 0.375 0.250
3 Zr 0.125 0.875 0.250
4 Zr 0.875 0.125 0.750
5 Nb 0.000 0.000 0.000
6 Nb 0.000 0.000 0.500
7 Nb 0.000 0.500 0.000
8 Nb 0.500 0.000 0.500

What is the size of the total moment in the first record? 0.0 μB per cell

Look up the size of the total moment of the third one. 0.0 μB per cell

Look up the size of the total moment of the first one. 0.0 μB per cell